(1)
# Pm3Se3S, relaxed, DFT PBE
# * polymorph energy (0 for the lowest one): 0.000 eV/atom
# * uncorrected energy: -5.8170 eV/atom
# * mass density: 5.82 g/cm3
# * energy relative to the elements, uncorrected: -1698.0 meV/atom
# * spin magnetization: 0.00 μB/cell
data_Pm3Se3S
_chemical_formula_sum 'Pm12 Se12 S4'
_cell_length_a 8.7077
_cell_length_b 12.1732
_cell_length_c 7.5838
_cell_angle_alpha 90.00
_cell_angle_beta 90.20
_cell_angle_gamma 90.00
_symmetry_space_group_name_H-M 'C 1 2/m 1'
_symmetry_Int_Tables_number 12
_symmetry_space_group_name_Hall '-C 2y'
loop_
_atom_site_label
_atom_site_type_symbol
_atom_site_fract_x
_atom_site_fract_y
_atom_site_fract_z
Pm1 Pm 0.0638 0.0000 0.2831
Pm2 Pm 0.1329 0.3479 0.2024
Se1 Se 0.0000 0.1618 0.0000
Se2 Se 0.0000 0.2271 0.5000
Se3 Se 0.1346 0.5000 0.8678
S1 S 0.2373 0.0000 0.5918

(2)
# DyEr2Hg4, relaxed, DFT PBE
# * polymorph energy (0 for the lowest one): 0.000 eV/atom
# * uncorrected energy: -2.4642 eV/atom
# * ΔH_f (0 K): -2.31 eV/f.u.
# * mass density: 11.26 g/cm3
# * spin magnetization: 0.00 μB/cell
data_DyEr2Hg4
_chemical_formula_sum 'Dy3 Er6 Hg12'
_cell_length_a 5.0720
_cell_length_b 5.0720
_cell_length_c 25.8051
_cell_angle_alpha 90.00
_cell_angle_beta 90.00
_cell_angle_gamma 120.00
_symmetry_space_group_name_H-M 'R -3 m'
_symmetry_Int_Tables_number 166
_symmetry_space_group_name_Hall '-R 3 2"'
loop_
_atom_site_label
_atom_site_type_symbol
_atom_site_fract_x
_atom_site_fract_y
_atom_site_fract_z
Dy1 Dy 0.0000 0.0000 0.0000
Er1 Er 0.0000 0.0000 0.2447
Hg1 Hg 0.0000 0.0000 0.1268
Hg2 Hg 0.0000 0.0000 0.3768

(3)
# Y2PaCu, relaxed, DFT PBE
# * polymorph energy (0 for the lowest one): 0.000 eV/atom
# * uncorrected energy: -6.6000 eV/atom
# * ΔH_f (0 K): 0.12 eV/f.u.
# * mass density: 8.00 g/cm3
# * spin magnetization: 0.28 μB/cell
data_Y2PaCu
_chemical_formula_sum 'Y2 Pa1 Cu1'
_cell_length_a 3.4287
_cell_length_b 3.4287
_cell_length_c 8.3401
_cell_angle_alpha 90.00
_cell_angle_beta 90.00
_cell_angle_gamma 90.00
_symmetry_space_group_name_H-M 'P 4/m m m'
_symmetry_Int_Tables_number 123
_symmetry_space_group_name_Hall '-P 4 2'
loop_
_atom_site_label
_atom_site_type_symbol
_atom_site_fract_x
_atom_site_fract_y
_atom_site_fract_z
Y1 Y 0.0000 0.0000 0.2122
Pa1 Pa 0.5000 0.5000 0.5000
Cu1 Cu 0.5000 0.5000 0.0000

(4)
# Dy2Co3B12Os, relaxed, DFT PBE
# * uncorrected energy: -6.7215 eV/atom
# * ΔH_f (0 K): 0.89 eV/f.u.
# * mass density: 7.15 g/cm3
# * spin magnetization: 6.43 μB/cell
data_Dy2Co3B12Os
_chemical_formula_sum 'Dy6 Co9 B36 Os3'
_cell_length_a 5.3466
_cell_length_b 5.3466
_cell_length_c 23.1279
_cell_angle_alpha 90.00
_cell_angle_beta 90.00
_cell_angle_gamma 120.00
_symmetry_space_group_name_H-M 'R -3 m'
_symmetry_Int_Tables_number 166
_symmetry_space_group_name_Hall '-R 3 2"'
loop_
_atom_site_label
_atom_site_type_symbol
_atom_site_fract_x
_atom_site_fract_y
_atom_site_fract_z
Dy1 Dy 0.0000 0.0000 0.1378
Co1 Co 0.0000 0.5000 0.0000
B1 B 0.0845 0.5422 0.0890
B2 B 0.1067 0.2134 0.7356
Os1 Os 0.0000 0.0000 0.5000

> Which formula does entry 1 have?

Pm3Se3S

Copy entry 2 word for word.
# DyEr2Hg4, relaxed, DFT PBE
# * polymorph energy (0 for the lowest one): 0.000 eV/atom
# * uncorrected energy: -2.4642 eV/atom
# * ΔH_f (0 K): -2.31 eV/f.u.
# * mass density: 11.26 g/cm3
# * spin magnetization: 0.00 μB/cell
data_DyEr2Hg4
_chemical_formula_sum 'Dy3 Er6 Hg12'
_cell_length_a 5.0720
_cell_length_b 5.0720
_cell_length_c 25.8051
_cell_angle_alpha 90.00
_cell_angle_beta 90.00
_cell_angle_gamma 120.00
_symmetry_space_group_name_H-M 'R -3 m'
_symmetry_Int_Tables_number 166
_symmetry_space_group_name_Hall '-R 3 2"'
loop_
_atom_site_label
_atom_site_type_symbol
_atom_site_fract_x
_atom_site_fract_y
_atom_site_fract_z
Dy1 Dy 0.0000 0.0000 0.0000
Er1 Er 0.0000 0.0000 0.2447
Hg1 Hg 0.0000 0.0000 0.1268
Hg2 Hg 0.0000 0.0000 0.3768

> What is the mass density in the third record?

8.00 g/cm3